Computed, not measured: crystalline MnFeRh3 at its relaxed geometry at the PBEsol level of DFT.

The formation energy comes out at 1.132 eV per atom. As for the crystal system: cubic. As for the density of states at the Fermi level: 9.21 states/eV per cell. The value obtained for the spin magnetization is 7.7 μB/cell. Its total energy is -37.48 eV/f.u.

The structure belongs to space group Pm-3m (No. 221); the cell edges are 4.356, 4.356 and 4.356 Å and the angles 90.00°, 90.00° and 90.00°. The distinct sites, in fractional coordinates, are Mn at (0.000, 0.000, 0.000), Fe at (0.500, 0.500, 0.500) and Rh at (0.000, 0.500, 0.500).